# PBE-GGA BeAlN, optimized geometry
# Total energy   -5.85 eV/atom
# Formation energy from raw total energies   -0.586 eV/atom
data_BeAlN
_space_group_name_H-M_alt 'P 3 m 1'
_space_group_IT_number 156
_cell_length_a 2.7889
_cell_length_b 2.7889
_cell_length_c 4.1957
_cell_angle_alpha 90.00
_cell_angle_beta 90.00
_cell_angle_gamma 120.00
loop_
_space_group_symop_operation_xyz
'x,y,z'
'-y,x-y,z'
'-x+y,-x,z'
'-y,-x,z'
'-x+y,y,z'
'x,x-y,z'
loop_
_atom_site_label
_atom_site_fract_x
_atom_site_fract_y
_atom_site_fract_z
Be1 0.0000 0.0000 0.0000
Al1 0.3333 0.6667 0.4722
N1 0.6667 0.3333 0.1855